Entry from Alexandria via LeMat-Bulk: CrOs after structural relaxation (GGA-PBEsol).

Lattice parameters (Å, degrees): 2.830 2.830 6.290 90.00 90.00 90.00
Element x y z (fractional)
Os 0.000 0.500 0.352
Cr 0.500 0.000 0.094
Os 0.500 0.000 0.648
Cr 0.000 0.500 0.906

Calculated values
The value obtained for the calculated formation energy is 0.161 eV/atom.